{"formula": "NaLuTlIn", "functional": "GGA-PBE", "state": "optimized geometry", "total_energy_ev_per_atom": -2.940, "formation_enthalpy_0k_ev_per_fu": -0.8, "lattice_angstrom": [[5.275, 0.000, 0.000], [2.637, 4.568, 0.000], [2.637, 1.523, 4.307]], "species": ["Lu", "In", "Na", "Tl"], "frac_coords": [[0.500, 0.500, 0.500], [0.750, 0.750, 0.750], [0.000, 0.000, 0.000], [0.250, 0.250, 0.250]]}